Entry from Alexandria: crystalline FeBrCl2 at its relaxed geometry (PBE).

Structure (POSCAR):
```
FeBrCl2
1.0
3.5382 0.0000 0.0000
0.0000 4.1134 0.0000
0.0000 0.0000 6.2271
Fe Br Cl
1 1 2
Direct
0.0000 0.0000 0.0000
0.5000 0.0000 0.5000
0.0000 0.5000 0.5000
0.5000 0.5000 0.0000
```

Formation energy from raw total energies = 351.9 meV per atom
E_tot = -3.11 eV per atom
Total moment = 3.5 μB/cell


Entry from Alexandria: crystalline CaSb2Ru at its relaxed geometry (PBE).

Structure (POSCAR):
```
CaSb2Ru
1.0
3.4300 0.0000 0.0000
0.0000 4.4389 0.0000
-0.4845 0.0000 6.1145
Ca Sb Ru
1 2 1
Direct
0.0000 0.0000 0.0000
0.4284 0.5000 0.7359
0.5716 0.5000 0.2641
0.5000 0.0000 0.5000
```

Formation energy from raw total energies = -212.8 meV per atom
E_tot = -5.09 eV per atom
Total moment = 0.0 μB/cell


Entry from Alexandria: crystalline YTaIr at its relaxed geometry (PBE).

Structure (POSCAR):
```
YTaIr
1.0
6.4833 0.0000 0.0000
0.0000 6.4833 0.0000
0.0000 0.0000 6.4833
Y Ta Ir
4 4 4
Direct
0.0000 0.0000 0.0000
0.0000 0.5000 0.5000
0.5000 0.0000 0.5000
0.5000 0.5000 0.0000
0.0000 0.0000 0.5000
0.0000 0.5000 0.0000
0.5000 0.0000 0.0000
0.5000 0.5000 0.5000
0.2500 0.2500 0.2500
0.2500 0.7500 0.7500
0.7500 0.2500 0.7500
0.7500 0.7500 0.2500
```

Formation energy = -0.40 eV/f.u.
E_tot = -9.19 eV per atom
Total moment = 0.0 μB/cell


Entry from Alexandria: crystalline BaTa2Ni at its relaxed geometry (PBE).

Structure (POSCAR):
```
BaTa2Ni
1.0
4.0371 0.0000 0.0000
0.0000 4.0371 0.0000
0.0000 0.0000 10.4930
Ba Ta Ni
2 4 2
Direct
0.0000 0.0000 0.0000
0.5000 0.5000 0.5000
0.0000 0.5000 0.2500
0.0000 0.5000 0.7500
0.5000 0.0000 0.2500
0.5000 0.0000 0.7500
0.0000 0.0000 0.5000
0.5000 0.5000 0.0000
```

Formation energy = 4.34 eV/f.u.
E_tot = -6.77 eV per atom
Total moment = 0.0 μB/cell


Entry from Alexandria: crystalline Rb2LiH3 at its relaxed geometry (PBE).

Structure (POSCAR):
```
Rb2LiH3
1.0
6.6418 -3.1889 0.0000
6.6418 3.1889 0.0000
0.0000 0.0000 6.0093
Rb Li H
4 2 6
Direct
0.0991 0.6097 0.7500
0.3903 0.9009 0.7500
0.6097 0.0991 0.2500
0.9009 0.3903 0.2500
0.1781 0.8219 0.2500
0.8219 0.1781 0.7500
0.0000 0.0000 0.0000
0.0000 0.0000 0.5000
0.1689 0.5653 0.2500
0.4347 0.8311 0.2500
0.5653 0.1689 0.7500
0.8311 0.4347 0.7500
```

E_tot = -2.55 eV per atom
Total moment = 0.0 μB/cell


Entry from Alexandria: crystalline CsZnF2 at its relaxed geometry (PBE).

Structure (POSCAR):
```
CsZnF2
1.0
6.8532 0.0000 0.0000
0.0000 6.8532 0.0000
0.0000 0.0000 6.8532
Cs Zn F
4 4 8
Direct
0.0000 0.0000 0.0000
0.0000 0.5000 0.5000
0.5000 0.0000 0.5000
0.5000 0.5000 0.0000
0.0000 0.0000 0.5000
0.0000 0.5000 0.0000
0.5000 0.0000 0.0000
0.5000 0.5000 0.5000
0.2500 0.2500 0.2500
0.2500 0.2500 0.7500
0.2500 0.7500 0.2500
0.2500 0.7500 0.7500
0.7500 0.2500 0.2500
0.7500 0.2500 0.7500
0.7500 0.7500 0.2500
0.7500 0.7500 0.7500
```

Formation energy from raw total energies = -1477.7 meV per atom
E_tot = -2.95 eV per atom
Total moment = 3.6 μB/cell


Entry from Alexandria: crystalline BaTl4Hg6 at its relaxed geometry (PBE).

Structure (POSCAR):
```
BaTl4Hg6
1.0
8.8794 0.0000 0.0000
-4.4397 7.6898 0.0000
0.0000 0.0000 5.0254
Ba Tl Hg
1 4 6
Direct
0.0000 0.0000 0.0000
0.1082 0.6868 0.5000
0.3132 0.4214 0.5000
0.5786 0.8918 0.5000
0.6667 0.3333 0.0000
0.0962 0.4654 0.0000
0.3536 0.1094 0.5000
0.3692 0.9038 0.0000
0.5346 0.6308 0.0000
0.7559 0.6464 0.5000
0.8906 0.2441 0.5000
```

Formation energy = -1.42 eV/f.u.
E_tot = -1.33 eV per atom
Total moment = 0.0 μB/cell


Entry from Alexandria: crystalline SiHgSbS2 at its relaxed geometry (PBE).

Structure (POSCAR):
```
SiHgSbS2
1.0
4.4823 0.0000 0.0000
0.0000 4.4823 0.0000
0.0000 0.0000 5.6094
Si Hg Sb S
1 1 1 2
Direct
0.0000 0.0000 0.0000
0.5000 0.5000 0.5000
0.0000 0.0000 0.5000
0.0000 0.5000 0.0000
0.5000 0.0000 0.0000
```

Formation energy from raw total energies = 257.8 meV per atom
E_tot = -3.36 eV per atom
Total moment = 0.0 μB/cell


Entry from Alexandria: crystalline CoReTe3 at its relaxed geometry (PBE).

Structure (POSCAR):
```
CoReTe3
1.0
5.2361 0.0000 0.0000
0.0000 5.2361 0.0000
0.0000 0.0000 5.2361
Co Re Te
1 1 3
Direct
0.0000 0.0000 0.0000
0.5000 0.5000 0.5000
0.0000 0.5000 0.5000
0.5000 0.0000 0.5000
0.5000 0.5000 0.0000
```

Formation energy from raw total energies = 1253.3 meV per atom
E_tot = -4.54 eV per atom
Total moment = 1.9 μB/cell


Entry from Alexandria: crystalline TiReSCl2 at its relaxed geometry (PBE).

Structure (POSCAR):
```
TiReSCl2
1.0
4.8783 0.0000 0.0000
0.0000 4.8783 0.0000
0.0000 0.0000 4.8291
Ti Re S Cl
1 1 1 2
Direct
0.0000 0.0000 0.0000
0.5000 0.5000 0.5000
0.0000 0.0000 0.5000
0.0000 0.5000 0.0000
0.5000 0.0000 0.0000
```

Formation energy from raw total energies = 353.1 meV per atom
E_tot = -5.28 eV per atom
Total moment = 6.9 μB/cell


Entry from Alexandria: crystalline BeB3Pd at its relaxed geometry (PBE).

Structure (POSCAR):
```
BeB3Pd
1.0
3.6403 0.0000 0.0000
0.0000 3.6403 0.0000
0.0000 0.0000 3.6403
Be B Pd
1 3 1
Direct
0.0000 0.0000 0.0000
0.0000 0.0000 0.5000
0.0000 0.5000 0.0000
0.5000 0.0000 0.0000
0.5000 0.5000 0.5000
```

Formation energy = 6.86 eV/f.u.
E_tot = -4.42 eV per atom
Total moment = 0.0 μB/cell


Entry from Alexandria: crystalline AcInSO2 at its relaxed geometry (PBE).

Structure (POSCAR):
```
AcInSO2
1.0
4.1296 0.0000 0.0000
0.0000 4.1296 0.0000
0.0000 0.0000 6.0358
Ac In S O
1 1 1 2
Direct
0.0000 0.0000 0.0000
0.5000 0.5000 0.3692
0.5000 0.5000 0.7755
0.0000 0.5000 0.2355
0.5000 0.0000 0.2355
```

Formation energy from raw total energies = -2169.4 meV per atom
E_tot = -6.35 eV per atom
Total moment = 0.0 μB/cell


Entry from Alexandria: crystalline TmAlIn2S6 at its relaxed geometry (PBE).

Structure (POSCAR):
```
TmAlIn2S6
1.0
6.0415 -6.6167 0.0000
6.0415 6.6167 0.0000
-2.4638 0.0000 6.2837
Tm Al In S
2 2 4 12
Direct
0.0941 0.9059 0.7500
0.9059 0.0941 0.2500
0.1686 0.8314 0.2500
0.8314 0.1686 0.7500
0.2922 0.4701 0.8474
0.4701 0.2922 0.3474
0.5299 0.7078 0.6526
0.7078 0.5299 0.1526
0.0642 0.1917 0.6688
0.1082 0.6564 0.9242
0.1917 0.0642 0.1688
0.2929 0.4673 0.4739
0.3436 0.8918 0.5758
0.4673 0.2929 0.9739
0.5327 0.7071 0.0261
0.6564 0.1082 0.4242
0.7071 0.5327 0.5261
0.8083 0.9358 0.8312
0.8918 0.3436 0.0758
0.9358 0.8083 0.3312
```

Formation energy from raw total energies = -998.0 meV per atom
E_tot = -4.84 eV per atom
Total moment = 0.0 μB/cell


Entry from Alexandria: crystalline Tb4OsRu at its relaxed geometry (PBE).

Structure (POSCAR):
```
Tb4OsRu
1.0
4.4913 -6.4776 0.0000
4.4913 6.4776 0.0000
-3.4873 0.0000 5.2197
Tb Os Ru
8 2 2
Direct
0.0472 0.6955 0.9054
0.2438 0.3687 0.7378
0.3045 0.9528 0.5946
0.3687 0.2438 0.2378
0.6313 0.7562 0.7622
0.6955 0.0472 0.4054
0.7562 0.6313 0.2622
0.9528 0.3045 0.0946
0.9997 0.0003 0.2500
0.0003 0.9997 0.7500
0.3654 0.6346 0.2500
0.6346 0.3654 0.7500
```

Formation energy = -1.75 eV/f.u.
E_tot = -6.80 eV per atom
Total moment = 0.0 μB/cell


Entry from Alexandria: crystalline Sm3Ag2Au7 at its relaxed geometry (PBE).

Structure (POSCAR):
```
Sm3Ag2Au7
1.0
2.2699 -15.2867 0.0000
2.2699 15.2867 0.0000
0.0000 0.0000 3.8348
Sm Ag Au
3 2 7
Direct
0.0000 0.0000 0.0000
0.1851 0.8149 0.0000
0.8149 0.1851 0.0000
0.3633 0.6367 0.5000
0.6367 0.3633 0.5000
0.0828 0.9172 0.5000
0.2754 0.7246 0.5000
0.4298 0.5702 0.0000
0.5000 0.5000 0.5000
0.5702 0.4298 0.0000
0.7246 0.2754 0.5000
0.9172 0.0828 0.5000
```

Formation energy = -5.43 eV/f.u.
E_tot = -4.02 eV per atom
Total moment = 0.0 μB/cell


Entry from Alexandria: crystalline DyThSc2 at its relaxed geometry (PBE).

Structure (POSCAR):
```
DyThSc2
1.0
3.4561 0.0000 0.0000
-1.7281 2.9931 0.0000
0.0000 0.0000 32.5415
Dy Th Sc
3 3 6
Direct
0.0000 0.0000 0.0000
0.3333 0.6667 0.6667
0.6667 0.3333 0.3333
0.0000 0.0000 0.5000
0.3333 0.6667 0.1667
0.6667 0.3333 0.8333
0.0000 0.0000 0.2485
0.0000 0.0000 0.7515
0.3333 0.6667 0.4181
0.3333 0.6667 0.9152
0.6667 0.3333 0.0848
0.6667 0.3333 0.5819
```

Formation energy = 0.20 eV/f.u.
E_tot = -6.12 eV per atom
Total moment = 0.0 μB/cell


Entry from Alexandria: crystalline Zn2Ga2Cu2Ag at its relaxed geometry (PBE).

Structure (POSCAR):
```
Zn2Ga2Cu2Ag
1.0
8.6966 0.0000 0.0000
0.0000 3.9019 0.0000
-0.5353 0.0000 6.1947
Zn Ga Cu Ag
4 4 4 2
Direct
0.0749 0.0000 0.1911
0.4251 0.5000 0.8089
0.5749 0.5000 0.1911
0.9251 0.0000 0.8089
0.2147 0.0000 0.6716
0.2853 0.5000 0.3284
0.7147 0.5000 0.6716
0.7853 0.0000 0.3284
0.1419 0.5000 0.9333
0.3581 0.0000 0.0667
0.6419 0.0000 0.9333
0.8581 0.5000 0.0667
0.0000 0.5000 0.5000
0.5000 0.0000 0.5000
```

Formation energy = -0.05 eV/f.u.
E_tot = -2.81 eV per atom
Total moment = 0.0 μB/cell


Entry from Alexandria: crystalline Pr5Hg4 at its relaxed geometry (PBE).

Structure (POSCAR):
```
Pr5Hg4
1.0
-5.9378 5.9378 1.8801
5.9378 -5.9378 1.8801
5.9378 5.9378 -1.8801
Pr Hg
5 4
Direct
0.0000 0.0000 0.0000
0.3202 0.6592 0.9794
0.3408 0.3202 0.6611
0.6592 0.6798 0.3389
0.6798 0.3408 0.0206
0.0225 0.6642 0.6868
0.3358 0.0225 0.3583
0.6642 0.9775 0.6417
0.9775 0.3358 0.3132
```

Formation energy = -1.37 eV/f.u.
E_tot = -2.94 eV per atom
Total moment = 0.0 μB/cell


Entry from Alexandria: crystalline Nd2NbAsN5 at its relaxed geometry (PBE).

Structure (POSCAR):
```
Nd2NbAsN5
1.0
1.6618 -7.2898 0.0000
1.6618 7.2898 0.0000
0.0000 0.0000 10.1965
Nd Nb As N
4 2 2 10
Direct
0.1142 0.8858 0.5000
0.1322 0.8678 0.1157
0.8678 0.1322 0.6157
0.8858 0.1142 0.0000
0.2190 0.7810 0.8321
0.7810 0.2190 0.3321
0.4501 0.5499 0.2607
0.5499 0.4501 0.7607
0.0431 0.9569 0.8558
0.2884 0.7116 0.4688
0.3253 0.6747 0.1943
0.3476 0.6524 0.8147
0.4968 0.5032 0.6009
0.5032 0.4968 0.1009
0.6524 0.3476 0.3147
0.6747 0.3253 0.6943
0.7116 0.2884 0.9688
0.9569 0.0431 0.3558
```

Formation energy from raw total energies = -753.7 meV per atom
E_tot = -8.07 eV per atom
Total moment = 0.0 μB/cell


Entry from Alexandria: crystalline Sc2PtS at its relaxed geometry (PBE).

Structure (POSCAR):
```
Sc2PtS
1.0
3.6744 0.0000 0.0000
-1.8372 3.1821 0.0000
0.0000 0.0000 20.1119
Sc Pt S
6 3 3
Direct
0.0000 0.0000 0.0000
0.0000 0.0000 0.1706
0.3333 0.6667 0.6667
0.3333 0.6667 0.8372
0.6667 0.3333 0.3333
0.6667 0.3333 0.5039
0.0000 0.0000 0.5855
0.3333 0.6667 0.2521
0.6667 0.3333 0.9188
0.0000 0.0000 0.4177
0.3333 0.6667 0.0844
0.6667 0.3333 0.7511
```

Formation energy from raw total energies = -1342.8 meV per atom
E_tot = -7.05 eV per atom
Total moment = 0.0 μB/cell


Entry from Alexandria: crystalline TaAlO6 at its relaxed geometry (PBE).

Structure (POSCAR):
```
TaAlO6
1.0
0.0000 3.8394 3.8394
3.8394 0.0000 3.8394
3.8394 3.8394 0.0000
Ta Al O
1 1 6
Direct
0.0000 0.0000 0.0000
0.5000 0.5000 0.5000
0.2575 0.2575 0.7425
0.2575 0.7425 0.2575
0.2575 0.7425 0.7425
0.7425 0.2575 0.2575
0.7425 0.2575 0.7425
0.7425 0.7425 0.2575
```

Formation energy from raw total energies = -1640.7 meV per atom
E_tot = -7.31 eV per atom
Total moment = 4.0 μB/cell


Entry from Alexandria: crystalline HfThBi at its relaxed geometry (PBE).

Structure (POSCAR):
```
HfThBi
1.0
4.4241 0.0000 0.0000
0.0000 4.4241 0.0000
0.0000 0.0000 8.6382
Hf Th Bi
2 2 2
Direct
0.2500 0.7500 0.0000
0.7500 0.2500 0.0000
0.2500 0.2500 0.3546
0.7500 0.7500 0.6454
0.2500 0.2500 0.7481
0.7500 0.7500 0.2519
```

Formation energy = -0.85 eV/f.u.
E_tot = -7.37 eV per atom
Total moment = 0.0 μB/cell


Entry from Alexandria: crystalline TcSNO2 at its relaxed geometry (PBE).

Structure (POSCAR):
```
TcSNO2
1.0
3.7638 0.0000 0.0000
0.0000 3.7638 0.0000
0.0000 0.0000 4.2126
Tc S N O
1 1 1 2
Direct
0.0000 0.0000 0.0000
0.5000 0.5000 0.5000
0.0000 0.0000 0.5000
0.0000 0.5000 0.0000
0.5000 0.0000 0.0000
```

Formation energy from raw total energies = 253.2 meV per atom
E_tot = -6.29 eV per atom
Total moment = 0.9 μB/cell


Entry from Alexandria: crystalline PrZnPd at its relaxed geometry (PBE).

Structure (POSCAR):
```
PrZnPd
1.0
3.5451 0.0000 0.0000
0.0000 3.5451 0.0000
0.0000 0.0000 10.1129
Pr Zn Pd
2 2 2
Direct
0.0000 0.0000 0.0000
0.5000 0.5000 0.5000
0.0000 0.0000 0.3023
0.5000 0.5000 0.8023
0.0000 0.0000 0.6954
0.5000 0.5000 0.1954
```

Formation energy = -1.55 eV/f.u.
E_tot = -4.26 eV per atom
Total moment = 0.0 μB/cell


Entry from Alexandria: crystalline SbIr at its relaxed geometry (PBE).

Structure (POSCAR):
```
SbIr
1.0
3.1708 0.0000 0.0000
0.0000 3.1708 0.0000
0.0000 0.0000 8.5065
Sb Ir
2 2
Direct
0.2500 0.2500 0.2060
0.7500 0.7500 0.7940
0.2500 0.2500 0.6118
0.7500 0.7500 0.3882
```

Formation energy from raw total energies = 118.1 meV per atom
E_tot = -6.37 eV per atom
Total moment = 0.1 μB/cell


Entry from Alexandria: crystalline EuInHgPb at its relaxed geometry (PBE).

Structure (POSCAR):
```
EuInHgPb
1.0
7.7058 0.0000 0.0000
0.0000 7.7058 0.0000
0.0000 0.0000 7.7058
Eu In Hg Pb
4 4 4 4
Direct
0.0000 0.0000 0.0000
0.0000 0.5000 0.5000
0.5000 0.0000 0.5000
0.5000 0.5000 0.0000
0.0000 0.0000 0.5000
0.0000 0.5000 0.0000
0.5000 0.0000 0.0000
0.5000 0.5000 0.5000
0.2500 0.2500 0.2500
0.2500 0.7500 0.7500
0.7500 0.2500 0.7500
0.7500 0.7500 0.2500
0.2500 0.2500 0.7500
0.2500 0.7500 0.2500
0.7500 0.2500 0.2500
0.7500 0.7500 0.7500
```

Formation energy = -1.29 eV/f.u.
E_tot = -4.58 eV per atom
Total moment = 27.8 μB/cell